# CuPd2Au5

A relaxed structure of CuPd2Au5 (PBE, Alexandria).

extended XYZ file:
```
16
Lattice="-3.557 3.557 5.528 3.557 -3.557 5.528 3.557 3.557 -5.528" Properties=species:S:1:pos:R:3 pbc="T T T"
Cu 0.000 0.000 2.764
Cu 0.000 0.000 8.291
Pd 4.572 1.015 0.000
Pd 1.015 2.542 0.000
Pd 2.542 1.015 5.528
Pd -1.015 2.542 5.528
Au 0.000 0.000 0.000
Au 4.640 -1.083 1.813
Au 2.474 -1.083 3.715
Au 2.474 1.083 1.813
Au 4.640 1.083 3.715
Au 0.000 0.000 5.528
Au -1.083 2.474 1.813
Au 1.083 2.474 3.715
Au 1.083 4.640 1.813
Au -1.083 4.640 3.715
```

Values from the calculation:
E above lowest polymorph, meV/atom: 147
Energy relative to the elements, eV/f.u.: 0.5

---

# PuTaRh2

A relaxed structure of PuTaRh2 (PBE, Alexandria).

extended XYZ file:
```
4
Lattice="0.000 3.302 3.302 3.302 0.000 3.302 3.302 3.302 0.000" Properties=species:S:1:pos:R:3 pbc="T T T"
Pu 0.000 0.000 0.000
Ta 3.302 3.302 3.302
Rh 1.651 1.651 1.651
Rh 4.953 4.953 4.953
```

Values from the calculation:
E above lowest polymorph, meV/atom: 186
Energy relative to the elements, eV/f.u.: -0.9

---

# Nd6Pd2Rh

A relaxed structure of Nd6Pd2Rh (PBE, Alexandria).

extended XYZ file:
```
18
Lattice="6.739 0.000 0.000 0.000 7.541 0.000 -6.200 0.000 10.469" Properties=species:S:1:pos:R:3 pbc="T T T"
Nd -2.029 1.396 4.518
Nd -5.129 2.375 9.753
Nd -0.918 5.084 4.482
Nd -4.019 6.228 9.716
Nd 1.180 0.316 2.579
Nd -1.920 3.455 7.813
Nd 2.459 4.086 2.656
Nd -0.641 7.226 7.890
Nd 4.557 1.313 0.753
Nd 1.457 2.457 5.987
Nd 5.667 5.167 0.716
Nd 2.567 6.145 5.950
Pd -3.390 0.874 7.676
Pd -0.290 2.897 2.442
Pd 0.829 4.644 8.027
Pd 3.929 6.668 2.793
Rh 0.269 0.000 5.234
Rh 3.369 3.771 0.000
```

Values from the calculation:
Energy relative to the elements, eV/f.u.: -4.5

---

# Zr2Sb2Se

A relaxed structure of Zr2Sb2Se (PBE, Alexandria).

extended XYZ file:
```
10
Lattice="7.602 0.000 0.000 0.000 7.602 0.000 0.000 0.000 4.035" Properties=species:S:1:pos:R:3 pbc="T T T"
Zr 1.202 2.599 0.000
Zr 2.599 6.400 0.000
Zr 5.003 1.202 0.000
Zr 6.400 5.003 0.000
Sb 1.068 4.869 2.018
Sb 2.733 1.068 2.018
Sb 4.869 6.534 2.018
Sb 6.534 2.733 2.018
Se 0.000 0.000 0.000
Se 3.801 3.801 0.000
```

Values from the calculation:
Uncorrected formation energy, eV per atom: -0.71

---

What M_tot values result from the calculations? In sequence: 0.0 5.0 0.0 0.0 μB/f.u..